Record 1
Material: SrSc2In
Method: DFT, meta-GGA SCAN
State: PBEsol geometry

Unit cell a=3.423 b=3.423 c=9.413 alpha=90.00 beta=90.00 gamma=90.00
Space group P4/mmm (No. 123)
One atom of each set of equivalent atoms:
Sr 0.000 0.000 0.000
Sc 0.500 0.500 0.303
In 0.000 0.000 0.500

Energy above the lowest structure with this stoichiometry = 41.9 meV/atom

=====

Record 2
Material: SrSc2TaIn
Method: DFT, meta-GGA SCAN
State: PBEsol geometry

Unit cell a=5.302 b=5.302 c=5.806 alpha=90.00 beta=90.00 gamma=90.00
Space group P4/mmm (No. 123)
One atom of each set of equivalent atoms:
Sr 0.000 0.000 0.000
Sc 0.000 0.500 0.500
Ta 0.500 0.500 0.000
In 0.000 0.000 0.500

Electronic total energy = -28.9803 eV/atom

=====

Record 3
Material: Sc2TaIn
Method: DFT, meta-GGA SCAN
State: PBEsol geometry

Unit cell a=3.1164 b=3.1164 c=30.1135 alpha=90.00 beta=90.00 gamma=120.00
Space group R3m (No. 160, hexagonal axes)
One atom of each set of equivalent atoms:
Sc 0.0000 0.0000 0.0000
Sc 0.0000 0.0000 0.2427
Ta 0.0000 0.0000 0.4978
In 0.0000 0.0000 0.7507

Electronic total energy = -32.0588 eV/atom

=====

Record 4
Material: Sc2TaIn
Method: DFT, meta-GGA SCAN
State: PBEsol geometry

Unit cell a=4.235 b=4.235 c=8.980 alpha=90.00 beta=90.00 gamma=90.00
Space group I-4m2 (No. 119)
One atom of each set of equivalent atoms:
Sc 0.000 0.000 0.000
Sc 0.000 0.500 0.250
Ta 0.000 0.000 0.500
In 0.000 0.500 0.750

Electronic total energy = -32.2177 eV/atom

=====

Record 5
Material: ScTa3In
Method: DFT, meta-GGA SCAN
State: PBEsol geometry

Unit cell a=4.710 b=4.710 c=4.710 alpha=90.00 beta=90.00 gamma=90.00
Space group Pm-3m (No. 221)
One atom of each set of equivalent atoms:
Sc 0.000 0.000 0.000
Ta 0.000 0.000 0.500
In 0.500 0.500 0.500

Electronic total energy = -47.6686 eV/atom

=====

Record 6
Material: ScTaIn2
Method: DFT, meta-GGA SCAN
State: PBEsol geometry

Unit cell a=6.838 b=6.838 c=6.838 alpha=90.00 beta=90.00 gamma=90.00
Space group Fm-3m (No. 225)
One atom of each set of equivalent atoms:
Sc 0.000 0.000 0.000
Ta 0.000 0.000 0.500
In 0.250 0.250 0.250

Electronic total energy = -36.8789 eV/atom

=====

Record 7
Material: ScTa2In
Method: DFT, meta-GGA SCAN
State: PBEsol geometry

Unit cell a=3.925 b=4.218 c=9.315 alpha=90.00 beta=90.00 gamma=90.00
Space group Cmmm (No. 65)
One atom of each set of equivalent atoms:
Sc 0.000 0.000 0.000
Ta 0.000 0.500 0.256
In 0.000 0.000 0.500

Electronic total energy = -45.0494 eV/atom

=====

Record 8
Material: ScTa2In
Method: DFT, meta-GGA SCAN
State: PBEsol geometry

Unit cell a=9.737 b=2.957 c=5.399 alpha=90.00 beta=97.32 gamma=90.00
Space group Cm (No. 8)
One atom of each set of equivalent atoms:
Sc 0.000 0.000 0.000
Ta 0.238 0.000 0.728
Ta 0.492 0.000 0.512
In 0.250 0.500 0.242

Electronic total energy = -45.1175 eV/atom

=====

Record 9
Material: ScTa2In
Method: DFT, meta-GGA SCAN
State: PBEsol geometry

Unit cell a=5.727 b=9.748 c=2.879 alpha=90.00 beta=108.61 gamma=90.00
Space group C2/m (No. 12)
One atom of each set of equivalent atoms:
Sc 0.000 0.000 0.000
Ta 0.250 0.250 0.500
In 0.000 0.500 0.000

Electronic total energy = -45.1227 eV/atom

=====

Record 10
Material: ScTa2TlIn
Method: DFT, meta-GGA SCAN
State: PBEsol geometry

Unit cell a=4.792 b=4.792 c=5.266 alpha=90.00 beta=90.00 gamma=90.00
Space group P4/mmm (No. 123)
One atom of each set of equivalent atoms:
Sc 0.000 0.000 0.000
Ta 0.000 0.500 0.000
Tl 0.000 0.000 0.500
In 0.500 0.500 0.500

Electronic total energy = -49.0019 eV/atom

=====

Record 11
Material: ScInTc2
Method: DFT, meta-GGA SCAN
State: PBEsol geometry

Unit cell a=3.264 b=4.638 c=8.803 alpha=90.00 beta=90.00 gamma=90.00
Space group Cmmm (No. 65)
One atom of each set of equivalent atoms:
Sc 0.000 0.000 0.000
In 0.000 0.000 0.500
Tc 0.000 0.500 0.247

Energy above the lowest structure with this stoichiometry = 449.8 meV/atom

=====

Record 12
Material: ScInTc2
Method: DFT, meta-GGA SCAN
State: PBEsol geometry

Unit cell a=2.978 b=2.978 c=7.858 alpha=90.00 beta=90.00 gamma=90.00
Space group P4mm (No. 99)
One atom of each set of equivalent atoms:
Sc 0.000 0.000 0.000
In 0.500 0.500 0.690
Tc 0.000 0.000 0.426
Tc 0.500 0.500 0.249

Energy above the lowest structure with this stoichiometry = 0.0 meV/atom

=====

Record 13
Material: ScInTc2
Method: DFT, meta-GGA SCAN
State: PBEsol geometry

Unit cell a=3.004 b=4.083 c=5.672 alpha=90.00 beta=90.00 gamma=90.00
Space group Pmmm (No. 47)
One atom of each set of equivalent atoms:
Sc 0.000 0.000 0.000
In 0.000 0.000 0.500
Tc 0.500 0.500 0.206

Energy above the lowest structure with this stoichiometry = 367.1 meV/atom

=====

Record 14
Material: ScInTc2
Method: DFT, meta-GGA SCAN
State: PBEsol geometry

Unit cell a=3.366 b=3.366 c=5.859 alpha=90.00 beta=90.00 gamma=90.00
Space group P4/mmm (No. 123)
One atom of each set of equivalent atoms:
Sc 0.000 0.000 0.000
In 0.000 0.000 0.500
Tc 0.500 0.500 0.238

Energy above the lowest structure with this stoichiometry = 397.2 meV/atom

=====

Record 15
Material: ScInTe
Method: DFT, meta-GGA SCAN
State: PBEsol geometry

Unit cell a=3.680 b=3.680 c=10.585 alpha=90.00 beta=90.00 gamma=90.00
Space group I4mm (No. 107)
One atom of each set of equivalent atoms:
Sc 0.000 0.000 0.000
In 0.000 0.000 0.673
Te 0.000 0.000 0.370

ΔE_f (raw) = -0.609 eV/atom

=====

Record 16
Material: ScIn2Te
Method: DFT, meta-GGA SCAN
State: PBEsol geometry

Unit cell a=3.7233 b=3.7233 c=25.7417 alpha=90.00 beta=90.00 gamma=120.00
Space group R-3m (No. 166, hexagonal axes)
One atom of each set of equivalent atoms:
Sc 0.0000 0.0000 0.0000
In 0.0000 0.0000 0.2482
Te 0.0000 0.0000 0.5000

ΔE_f (raw) = -0.114 eV/atom

=====

Record 17
Material: ScIn2Te
Method: DFT, meta-GGA SCAN
State: PBEsol geometry

Unit cell a=5.783 b=5.843 c=6.152 alpha=90.00 beta=90.00 gamma=90.00
Space group Cmmm (No. 65)
One atom of each set of equivalent atoms:
Sc 0.000 0.000 0.000
In 0.245 0.000 0.500
Te 0.000 0.500 0.000

ΔE_f (raw) = -0.376 eV/atom

=====

Record 18
Material: ScIn2Te
Method: DFT, meta-GGA SCAN
State: PBEsol geometry

Unit cell a=3.910 b=4.249 c=5.879 alpha=90.00 beta=90.00 gamma=90.00
Space group Pmmm (No. 47)
One atom of each set of equivalent atoms:
Sc 0.000 0.000 0.000
In 0.500 0.500 0.242
Te 0.000 0.000 0.500

ΔE_f (raw) = -0.274 eV/atom

=====

Record 19
Material: ScIn2Te2
Method: DFT, meta-GGA SCAN
State: PBEsol geometry

Unit cell a=5.829 b=5.829 c=8.420 alpha=90.00 beta=90.00 gamma=90.00
Space group I4/mmm (No. 139)
One atom of each set of equivalent atoms:
Sc 0.000 0.000 0.000
In 0.000 0.000 0.340
Te 0.000 0.500 0.250

ΔE_f (raw) = -0.220 eV/atom

=====

Record 20
Material: ScIn2Te
Method: DFT, meta-GGA SCAN
State: PBEsol geometry

Unit cell a=4.558 b=4.558 c=9.147 alpha=90.00 beta=90.00 gamma=90.00
Space group I-4m2 (No. 119)
One atom of each set of equivalent atoms:
Sc 0.000 0.000 0.000
In 0.000 0.000 0.500
In 0.000 0.500 0.750
Te 0.000 0.500 0.250

ΔE_f (raw) = -0.350 eV/atom

=====

no.,N(E_F) (states/eV per cell)
1,3.690
2,3.437
3,8.604
4,5.942
5,4.942
6,14.981
7,8.514
8,6.379
9,6.266
10,4.033
11,6.047
12,1.759
13,2.898
14,4.735
15,4.094
16,10.215
17,4.810
18,2.752
19,4.007
20,3.864